Entry 1:
Hf6SN: relaxed, PBE.

Computed properties:
- Magnetization: 0.00 μB per formula unit
- Formation energy without anion corrections: -6.535 eV/f.u.
- Density of states at the Fermi level: 4.911 states/eV/f.u.
- Energy relative to the lowest polymorph listed for this composition: 0.0 kJ/mol of formula units
- Symmetry: No. 163

Cell and atoms, written as POSCAR:
```
Hf6SN
1.0
5.7190 0.0000 0.0000
-2.8595 4.9528 0.0000
0.0000 0.0000 10.8543
Hf S N
12 2 2
direct
0.0096 0.3274 0.1139 Hf
0.0096 0.6822 0.3861 Hf
0.3178 0.3274 0.3861 Hf
0.3178 0.9904 0.1139 Hf
0.3274 0.0096 0.6139 Hf
0.3274 0.3178 0.8861 Hf
0.6726 0.6822 0.1139 Hf
0.6726 0.9904 0.3861 Hf
0.6822 0.0096 0.8861 Hf
0.6822 0.6726 0.6139 Hf
0.9904 0.3178 0.6139 Hf
0.9904 0.6726 0.8861 Hf
0.3333 0.6667 0.7500 S
0.6667 0.3333 0.2500 S
0.0000 0.0000 0.0000 N
0.0000 0.0000 0.5000 N
```

---

Entry 2:
Hf2SN: relaxed, PBE.

Computed properties:
- Magnetization: 0.00 μB per formula unit
- Formation energy without anion corrections: -6.017 eV/f.u.
- Density of states at the Fermi level: 2.064 states/eV/f.u.
- Energy relative to the lowest polymorph listed for this composition: 0.0 kJ/mol of formula units
- Symmetry: No. 160

Cell and atoms, written as POSCAR:
```
Hf2SN
1.0
1.6420 0.9480 6.1554
-1.6420 0.9480 6.1554
0.0000 -1.8960 6.1554
Hf S N
2 1 1
direct
0.0000 0.0000 0.0000 Hf
0.1970 0.1970 0.1970 Hf
0.4313 0.4313 0.4313 S
0.5994 0.5994 0.5994 N
```

---

Entry 3:
Hf2SN: relaxed, PBE.

Computed properties:
- Magnetization: 0.00 μB per formula unit
- Formation energy without anion corrections: -2.873 eV/f.u.
- Density of states at the Fermi level: 1.467 states/eV/f.u.
- Energy relative to the lowest polymorph listed for this composition: 303.4 kJ/mol of formula units
- Symmetry: No. 225

Cell and atoms, written as POSCAR:
```
Hf2SN
1.0
0.0000 3.0254 3.0254
3.0254 0.0000 3.0254
3.0254 3.0254 0.0000
Hf S N
2 1 1
direct
0.2500 0.2500 0.2500 Hf
0.7500 0.7500 0.7500 Hf
0.0000 0.0000 0.0000 S
0.5000 0.5000 0.5000 N
```

---

> Look up the energy relative to the lowest polymorph listed for this composition of the first one.

0.0 kJ/mol of formula units